<a>
DFT (PBE) results for a relaxed PmNd7Tm2 crystal.

Values from the calculation:
Volume (Å³ per atom): 35.13

Structure (CIF):
```
data_PmNd7Tm2
_chemical_formula_sum 'Pm1 Nd7 Tm2'
_symmetry_space_group_name_H-M 'P -1'
_symmetry_Int_Tables_number 2
_cell_length_a 5.636
_cell_length_b 8.503
_cell_length_c 8.559
_cell_angle_alpha 114.39
_cell_angle_beta 100.73
_cell_angle_gamma 100.50
loop_
_symmetry_equiv_pos_as_xyz
'x,y,z'
'-x,-y,-z'
loop_
_atom_site_label
_atom_site_type_symbol
_atom_site_fract_x
_atom_site_fract_y
_atom_site_fract_z
_atom_site_occupancy
Pm1 Pm 0.000 0.000 0.000 1
Nd1 Nd 0.000 0.500 0.500 1
Nd2 Nd 0.328 0.482 0.223 1
Nd3 Nd 0.333 0.726 0.982 1
Nd4 Nd 0.498 0.119 0.383 1
Tm1 Tm 0.087 0.214 0.715 1
```

---

<b>
DFT (PBE) results for a relaxed PmNd7Tm2 crystal.

Values from the calculation:
Volume (Å³ per atom): 41.74

Structure (CIF):
```
data_PmNd7Tm2
_chemical_formula_sum 'Pm2 Nd14 Tm4'
_symmetry_space_group_name_H-M 'C m m m'
_symmetry_Int_Tables_number 65
_symmetry_space_group_name_Hall '-C 2 2'
_cell_length_a 8.976
_cell_length_b 16.134
_cell_length_c 5.764
_cell_angle_alpha 90.00
_cell_angle_beta 90.00
_cell_angle_gamma 90.00
loop_
_atom_site_label
_atom_site_type_symbol
_atom_site_fract_x
_atom_site_fract_y
_atom_site_fract_z
_atom_site_occupancy
Pm1 Pm 0.000 0.000 0.000 1
Nd1 Nd 0.000 0.229 0.000 1
Nd2 Nd 0.000 0.500 0.500 1
Nd3 Nd 0.180 0.116 0.500 1
Tm1 Tm 0.000 0.296 0.500 1
```

---

Order from most stable to least stable according to the calculation: <a>, <b>

---

<a>
DFT (PBE) results for a relaxed Pm2NdTm8 crystal.

Values from the calculation:
Volume (Å³ per atom): 31.85

Structure (CIF):
```
data_Pm2NdTm8
_chemical_formula_sum 'Pm4 Nd2 Tm16'
_symmetry_space_group_name_H-M 'I m m m'
_symmetry_Int_Tables_number 71
_symmetry_space_group_name_Hall '-I 2 2'
_cell_length_a 5.450
_cell_length_b 8.021
_cell_length_c 16.031
_cell_angle_alpha 90.00
_cell_angle_beta 90.00
_cell_angle_gamma 90.00
loop_
_atom_site_label
_atom_site_type_symbol
_atom_site_fract_x
_atom_site_fract_y
_atom_site_fract_z
_atom_site_occupancy
Pm1 Pm 0.000 0.000 0.200 1
Nd1 Nd 0.000 0.000 0.500 1
Tm1 Tm 0.000 0.207 0.000 1
Tm2 Tm 0.000 0.292 0.360 1
Tm3 Tm 0.000 0.500 0.161 1
```

---

<b>
DFT (PBE) results for a relaxed Pm2NdTm8 crystal.

Values from the calculation:
Volume (Å³ per atom): 31.25

Structure (CIF):
```
data_Pm2NdTm8
_chemical_formula_sum 'Pm4 Nd2 Tm16'
_symmetry_space_group_name_H-M 'C 1 2/m 1'
_symmetry_Int_Tables_number 12
_cell_length_a 18.023
_cell_length_b 5.004
_cell_length_c 7.901
_cell_angle_alpha 90.00
_cell_angle_beta 105.22
_cell_angle_gamma 90.00
loop_
_symmetry_equiv_pos_as_xyz
'x,y,z'
'-x,-y,-z'
'-x,y,-z'
'x,-y,z'
'x+1/2,y+1/2,z'
'-x+1/2,-y+1/2,-z'
'-x+1/2,y+1/2,-z'
'x+1/2,-y+1/2,z'
loop_
_atom_site_label
_atom_site_type_symbol
_atom_site_fract_x
_atom_site_fract_y
_atom_site_fract_z
_atom_site_occupancy
Pm1 Pm 0.227 0.000 0.137 1
Nd1 Nd 0.000 0.500 0.500 1
Tm1 Tm 0.045 0.000 0.226 1
Tm2 Tm 0.090 0.500 0.955 1
Tm3 Tm 0.136 0.000 0.680 1
Tm4 Tm 0.182 0.500 0.408 1
```

---

Order from most stable to least stable according to the calculation: <b>, <a>

---

<a>
DFT (PBE) results for a relaxed Pm2NdTm4 crystal.

Values from the calculation:
Volume (Å³ per atom): 32.24

Structure (CIF):
```
data_Pm2NdTm4
_chemical_formula_sum 'Pm4 Nd2 Tm8'
_symmetry_space_group_name_H-M 'P 1'
_symmetry_Int_Tables_number 1
_cell_length_a 6.009
_cell_length_b 8.533
_cell_length_c 9.870
_cell_angle_alpha 85.05
_cell_angle_beta 72.31
_cell_angle_gamma 69.45
loop_
_symmetry_equiv_pos_as_xyz
'x,y,z'
loop_
_atom_site_label
_atom_site_type_symbol
_atom_site_fract_x
_atom_site_fract_y
_atom_site_fract_z
_atom_site_occupancy
Pm1 Pm 0.000 0.000 0.000 1
Pm2 Pm 0.002 0.933 0.364 1
Pm3 Pm 0.190 0.499 0.500 1
Pm4 Pm 0.299 0.067 0.635 1
Nd1 Nd 0.188 0.567 0.136 1
Nd2 Nd 0.891 0.433 0.864 1
Tm1 Tm 0.371 0.646 0.773 1
Tm2 Tm 0.402 0.145 0.274 1
Tm3 Tm 0.443 0.210 0.921 1
Tm4 Tm 0.574 0.789 0.080 1
Tm5 Tm 0.615 0.711 0.421 1
Tm6 Tm 0.746 0.288 0.580 1
Tm7 Tm 0.791 0.353 0.227 1
Tm8 Tm 0.819 0.854 0.726 1
```

---

<b>
DFT (PBE) results for a relaxed Pm2NdTm4 crystal.

Values from the calculation:
Volume (Å³ per atom): 33.19

Structure (CIF):
```
data_Pm2NdTm4
_chemical_formula_sum 'Pm4 Nd2 Tm8'
_symmetry_space_group_name_H-M 'I 4/m m m'
_symmetry_Int_Tables_number 139
_symmetry_space_group_name_Hall '-I 4 2'
_cell_length_a 8.451
_cell_length_b 8.451
_cell_length_c 6.506
_cell_angle_alpha 90.00
_cell_angle_beta 90.00
_cell_angle_gamma 90.00
loop_
_atom_site_label
_atom_site_type_symbol
_atom_site_fract_x
_atom_site_fract_y
_atom_site_fract_z
_atom_site_occupancy
Pm1 Pm 0.000 0.500 0.250 1
Nd1 Nd 0.000 0.000 0.000 1
Tm1 Tm 0.196 0.196 0.500 1
```

---

Order from most stable to least stable according to the calculation: <a>, <b>

---

<a>
DFT (PBE) results for a relaxed Pm2Nd4Tm5 crystal.

Values from the calculation:
Volume (Å³ per atom): 33.40

Structure (CIF):
```
data_Pm2Nd4Tm5
_chemical_formula_sum 'Pm4 Nd8 Tm10'
_symmetry_space_group_name_H-M 'C 1 2/m 1'
_symmetry_Int_Tables_number 12
_cell_length_a 11.186
_cell_length_b 7.450
_cell_length_c 9.222
_cell_angle_alpha 90.00
_cell_angle_beta 107.04
_cell_angle_gamma 90.00
loop_
_symmetry_equiv_pos_as_xyz
'x,y,z'
'-x,-y,-z'
'-x,y,-z'
'x,-y,z'
'x+1/2,y+1/2,z'
'-x+1/2,-y+1/2,-z'
'-x+1/2,y+1/2,-z'
'x+1/2,-y+1/2,z'
loop_
_atom_site_label
_atom_site_type_symbol
_atom_site_fract_x
_atom_site_fract_y
_atom_site_fract_z
_atom_site_occupancy
Pm1 Pm 0.143 0.000 0.127 1
Nd1 Nd 0.176 0.500 0.125 1
Nd2 Nd 0.182 0.500 0.498 1
Tm1 Tm 0.000 0.000 0.500 1
Tm2 Tm 0.068 0.280 0.781 1
```

---

<b>
DFT (PBE) results for a relaxed Pm2Nd4Tm5 crystal.

Values from the calculation:
Volume (Å³ per atom): 32.90

Structure (CIF):
```
data_Pm2Nd4Tm5
_chemical_formula_sum 'Pm4 Nd8 Tm10'
_symmetry_space_group_name_H-M 'C 1 2/m 1'
_symmetry_Int_Tables_number 12
_cell_length_a 19.506
_cell_length_b 5.816
_cell_length_c 6.397
_cell_angle_alpha 90.00
_cell_angle_beta 94.15
_cell_angle_gamma 90.00
loop_
_symmetry_equiv_pos_as_xyz
'x,y,z'
'-x,-y,-z'
'-x,y,-z'
'x,-y,z'
'x+1/2,y+1/2,z'
'-x+1/2,-y+1/2,-z'
'-x+1/2,y+1/2,-z'
'x+1/2,-y+1/2,z'
loop_
_atom_site_label
_atom_site_type_symbol
_atom_site_fract_x
_atom_site_fract_y
_atom_site_fract_z
_atom_site_occupancy
Pm1 Pm 0.099 0.000 0.046 1
Nd1 Nd 0.034 0.500 0.765 1
Nd2 Nd 0.194 0.000 0.574 1
Tm1 Tm 0.000 0.000 0.500 1
Tm2 Tm 0.132 0.500 0.356 1
Tm3 Tm 0.214 0.500 0.894 1
```

---

Order from most stable to least stable according to the calculation: <b>, <a>